# YHo2Mg3Tl2Hg (PBE, optimized geometry)
data_YHo2Mg3Tl2Hg
_space_group_name_H-M_alt 'A m m 2'
_space_group_IT_number 38
_cell_length_a 4.590
_cell_length_b 13.022
_cell_length_c 7.499
_cell_angle_alpha 90.00
_cell_angle_beta 90.00
_cell_angle_gamma 90.00
loop_
_space_group_symop_operation_xyz
'x,y,z'
'-x,-y,z'
'-x,y,z'
'x,-y,z'
'x,y+1/2,z+1/2'
'-x,-y+1/2,z+1/2'
'-x,y+1/2,z+1/2'
'x,-y+1/2,z+1/2'
loop_
_atom_site_label
_atom_site_fract_x
_atom_site_fract_y
_atom_site_fract_z
Y1 0.000 0.000 0.000
Ho1 0.000 0.211 0.368
Mg1 0.500 0.000 0.339
Mg2 0.500 0.119 0.698
Tl1 0.500 0.167 0.079
Hg1 0.000 0.000 0.577
# DFT total energy   -3.185 eV/atom